No. 1
Below is Ac2TmIrO8 after structural relaxation, with properties calculated at the GGA-PBE level.

For the uncorrected energy, the calculation gives -7.33 eV/atom. The space group is P2/m.

Unit cell a=4.6182 b=5.5299 c=7.1962 alpha=90.00 beta=89.99 gamma=96.43
Closest atoms and distances in Å follow each position.
Positions (direct):
Ac 0.4995 0.4999 0.7569  4 O 2.34-2.60
Ac 0.5005 0.5001 0.2431  4 O 2.34-2.60
Tm 0.0000 0.0000 0.5000  2 O 2.16
Ir 0.0000 0.0000 0.0000  6 O 1.84-2.01
O 0.0805 0.7819 0.2131  1 Ir 2.01
O 0.6260 0.8433 0.9999  1 Ir 1.84
O 0.9193 0.2178 0.2132  1 Ir 2.01
O 0.9195 0.2181 0.7869  1 Ir 2.01
O 0.3740 0.1567 0.0001  1 Ir 1.84
O 0.0807 0.7822 0.7868  1 Ir 2.01
O 0.6037 0.7530 0.5001  1 Tm 2.16, 2 Ac 2.34
O 0.3963 0.2470 0.4999  1 Tm 2.16, 2 Ac 2.34

No. 2
Below is Sm2GaHgGe after structural relaxation, with properties calculated at the GGA-PBE level.

The calculation puts the energy of formation from the pure elements at -0.553 eV per atom. The space group is P2_1/m.

Unit cell a=4.5710 b=7.5107 c=7.4776 alpha=90.49 beta=90.00 gamma=90.00
Closest atoms and distances in Å follow each position.
Positions (direct):
Sm 0.7500 0.7837 0.5039  3 Ge 3.02-3.09, 2 Hg 3.21, 3 Ga 3.27-3.29
Sm 0.7500 0.7777 0.9991  3 Ge 2.98-3.10, 2 Hg 3.22, 3 Ga 3.31-3.33
Sm 0.2500 0.2163 0.4961  3 Ge 3.02-3.09, 2 Hg 3.21, 3 Ga 3.27-3.29
Sm 0.2500 0.2223 0.0009  3 Ge 2.98-3.10, 2 Hg 3.22, 3 Ga 3.31-3.33
Ga 0.2500 0.5782 0.7419  1 Ge 2.49, 2 Hg 2.71
Ga 0.7500 0.4218 0.2581  1 Ge 2.49, 2 Hg 2.71
Hg 0.2500 0.6145 0.2534  2 Ga 2.71
Hg 0.7500 0.3855 0.7466  2 Ga 2.71
Ge 0.2500 0.9092 0.7534  1 Ga 2.49
Ge 0.7500 0.0908 0.2466  1 Ga 2.49

No. 3
Below is CuBiI2O after structural relaxation, with properties calculated at the GGA-PBE level.

The space group is P4/mmm. As for the energy relative to the lowest polymorph listed for this composition: 0.0 meV per atom.

Unit cell a=5.8212 b=5.8212 c=3.6656 alpha=90.00 beta=90.00 gamma=90.00
Closest atoms and distances in Å follow each position.
Positions (direct):
I 0.0000 0.5000 0.0000  2 Cu 2.91
I 0.5000 0.0000 0.0000  2 Cu 2.91
O 0.0000 0.0000 0.5000  2 Cu 1.83
Bi 0.5000 0.5000 0.5000  8 I 3.44, 2 Bi 3.67
Cu 0.0000 0.0000 0.0000  2 O 1.83